Record 1
An optimized crystal structure of Mg3AlS, computed with PBE.

```
Mg3AlS
1.0
4.8396 0.0000 0.0000
0.0000 4.8396 0.0000
0.0000 0.0000 4.8396
Mg Al S
3 1 1
Direct
0.0000 0.0000 0.5000 Mg
0.0000 0.5000 0.0000 Mg
0.5000 0.0000 0.0000 Mg
0.5000 0.5000 0.5000 Al
0.0000 0.0000 0.0000 S
```

Values from the calculation:
- VASP energy (eV per atom) = -2.6348
- SG = Pm-3m
- ΔE to the lowest computed polymorph (meV/atom) = 0
- spin magnetization (μB per cell) = 0.00
- N(E_F) (states/eV/f.u.) = 2.4
- raw formation energy (eV per atom) = -0.10

---

Record 2
An optimized crystal structure of Pr6TlNi2I3, computed with PBE.

```
Pr6TlNi2I3
1.0
10.1488 -2.0785 0.0000
10.1488 2.0785 0.0000
-3.0432 0.0000 9.2064
Pr Tl Ni I
6 1 2 3
Direct
0.0226 0.0226 0.2555 Pr
0.3187 0.3187 0.4505 Pr
0.3351 0.3351 0.8581 Pr
0.6649 0.6649 0.1419 Pr
0.6813 0.6813 0.5495 Pr
0.9774 0.9774 0.7445 Pr
0.5000 0.5000 0.0000 Tl
0.1703 0.1703 0.3446 Ni
0.8297 0.8297 0.6554 Ni
0.1613 0.1613 0.8362 I
0.5000 0.5000 0.5000 I
0.8387 0.8387 0.1638 I
```

Values from the calculation:
- VASP energy (eV per atom) = -4.5616
- SG = C2/m
- spin magnetization (μB per cell) = 0.00
- N(E_F) (states/eV/f.u.) = 9.8
- raw formation energy (eV per atom) = -0.62

---

Record 3
An optimized crystal structure of LaAl2TlF, computed with PBE.

```
LaAl2TlF
1.0
6.1778 0.0000 0.0000
0.0000 6.1778 0.0000
0.0000 0.0000 4.4494
La Al Tl F
1 2 1 1
Direct
0.0000 0.0000 0.0000 La
0.0000 0.5000 0.0000 Al
0.5000 0.0000 0.0000 Al
0.5000 0.5000 0.5000 Tl
0.0000 0.0000 0.5000 F
```

Values from the calculation:
- VASP energy (eV per atom) = -3.7453
- SG = P4/mmm
- spin magnetization (μB per cell) = 0.00
- N(E_F) (states/eV/f.u.) = 3.1
- raw formation energy (eV per atom) = -0.42

---

Record 4
An optimized crystal structure of Pm2ScNi3As4, computed with PBE.

```
Pm2ScNi3As4
1.0
4.2430 0.0000 0.0000
0.0000 4.2430 0.0000
0.0000 0.0000 10.1394
Pm Sc Ni As
2 1 3 4
Direct
0.0000 0.5000 0.2252 Pm
0.5000 0.0000 0.7748 Pm
0.0000 0.0000 0.5000 Sc
0.0000 0.5000 0.8900 Ni
0.5000 0.0000 0.1100 Ni
0.5000 0.5000 0.5000 Ni
0.0000 0.0000 0.0000 As
0.0000 0.5000 0.6536 As
0.5000 0.0000 0.3464 As
0.5000 0.5000 0.0000 As
```

Values from the calculation:
- VASP energy (eV per atom) = -6.0572
- SG = P-4m2
- spin magnetization (μB per cell) = 0.00
- N(E_F) (states/eV/f.u.) = 4.1
- energy of formation from the pure elements (eV/atom) = -0.880

---

Record 5
An optimized crystal structure of Ba2MgTl5, computed with PBE.

```
Ba2MgTl5
1.0
-3.8975 3.8975 4.4652
3.8975 -3.8975 4.4652
3.8975 3.8975 -4.4652
Ba Mg Tl
2 1 5
Direct
0.0000 0.5000 0.5000 Ba
0.5000 0.0000 0.5000 Ba
0.0447 0.0447 0.0000 Mg
0.4219 0.4219 0.0000 Tl
0.5387 0.5387 0.5801 Tl
0.5387 0.9586 0.0000 Tl
0.9586 0.5387 0.0000 Tl
0.9586 0.9586 0.4199 Tl
```

Values from the calculation:
- VASP energy (eV per atom) = -2.3840
- SG = I4mm
- ΔE to the lowest computed polymorph (meV/atom) = 0
- spin magnetization (μB per cell) = 0.00
- N(E_F) (states/eV/f.u.) = 3.2
- energy of formation from the pure elements (eV/atom) = -0.225

---

Record 6
An optimized crystal structure of Cd2TcNi, computed with PBE.

```
Cd2TcNi
1.0
1.4323 0.8270 9.2028
-1.4323 0.8270 9.2028
0.0000 -1.6539 9.2028
Cd Tc Ni
2 1 1
Direct
0.2456 0.2456 0.2456 Cd
0.7544 0.7544 0.7544 Cd
0.0000 0.0000 0.0000 Tc
0.5000 0.5000 0.5000 Ni
```

Values from the calculation:
- VASP energy (eV per atom) = -4.1288
- SG = R-3m
- ΔE to the lowest computed polymorph (meV/atom) = 195
- spin magnetization (μB per cell) = 0.00
- N(E_F) (states/eV/f.u.) = 3.1
- energy of formation from the pure elements (eV/atom) = 0.366